1.
Compound: AlGaBi
Source: Alexandria via LeMat-Bulk
Functional: GGA-PBE
Structure: relaxed

Summary:
magnetic moment = 0.0 Bohr magnetons per cell
energy relative to the elements = 13.2 kJ/mol of atoms
space-group type = No. 1
energy above the lowest structure with this stoichiometry = 38.4 meV per atom

a = 3.229 Å, b = 3.983 Å, c = 5.932 Å
α = 110.51°, β = 90.82°, γ = 89.71°
Fractional positions:
Al 0.427 0.739 0.995
Ga 0.923 0.151 0.816
Bi 0.463 0.448 0.406

---

2.
Compound: CsZnCl
Source: Alexandria via LeMat-Bulk
Functional: GGA-PBE
Structure: relaxed

Summary:
formation energy from raw total energies = -1.013 eV per atom
magnetic moment = 0.0 Bohr magnetons per cell
space-group type = No. 8
energy above the lowest structure with this stoichiometry = 0.0 meV per atom

a = 11.948 Å, b = 4.745 Å, c = 8.327 Å
α = 90.00°, β = 103.33°, γ = 90.00°
Fractional positions:
Zn 0.397 0.000 0.442
Zn 0.414 0.500 0.279
Zn 0.397 0.500 0.942
Zn 0.414 0.000 0.779
Cl 0.184 0.500 0.875
Cl 0.184 0.000 0.375
Cl 0.821 0.500 0.418
Cl 0.821 0.000 0.918
Cs 0.016 0.500 0.151
Cs 0.016 0.000 0.651
Cs 0.648 0.500 0.692
Cs 0.648 0.000 0.192

---

3.
Compound: LaPmCdIr
Source: Alexandria via LeMat-Bulk
Functional: GGA-PBE
Structure: relaxed

Summary:
magnetic moment = 0.0 Bohr magnetons per cell
energy relative to the elements = -41.1 kJ/mol of atoms
space-group type = No. 216

a = 5.234 Å, b = 5.234 Å, c = 5.234 Å
α = 60.00°, β = 60.00°, γ = 60.00°
Fractional positions:
Ir 0.500 0.500 0.500
Pm 0.750 0.750 0.750
Cd 0.000 0.000 0.000
La 0.250 0.250 0.250

---

Number 1: total energy -3.413 eV per atom. Number 2: total energy -2.338 eV per atom. Number 3: total energy -5.289 eV per atom.